PBEsol Be2OsSe, optimized geometry; raw formation energy = 0.46 eV/atom; M_tot = 0.002 Bohr magnetons per cell; space-group type = C2/m; crystal system = monoclinic
1.0
-2.641 -0.980 0.809
1.864 -2.531 3.056
0.100 4.675 0.662
Be Os Se
2 1 1
direct
0.500 0.500 0.500
0.000 0.000 0.500
0.000 0.500 0.000
0.500 0.000 0.000